This record from the Alexandria database describes SiC2 after structural relaxation. The functional is GGA-PBE.

a = 2.8744 Å, b = 2.8744 Å, c = 3.8107 Å
α = 90.00°, β = 90.00°, γ = 120.00°
Element x y z (fractional)
Si1 0.0000 0.0000 0.0000
C1 0.6667 0.3333 0.3241
C2 0.6667 0.3333 0.6759

## Properties
Formation energy without anion corrections: 0.841 eV per atom
VASP energy: -21.3 eV/cell
Total magnetization: 0.0 μB per cell
Symmetry: P-6m2 (187)